Entry 1:
# CeErSiSe PBE-GGA optimized geometry
# DFT total energy: -6.09 eV/atom
# Formation energy without anion corrections: -28.65 kcal/mol of atoms
# V: 25.16 A^3/atom
data_CeErSiSe
_cell_length_a 4.1391
_cell_length_b 4.1391
_cell_length_c 20.3499
_cell_angle_alpha 90.00
_cell_angle_beta 90.00
_cell_angle_gamma 120.00
_space_group_name_H-M_alt 'R 3 m'
_space_group_IT_number 160
_space_group_name_Hall 'R 3 -2"'
loop_
_atom_site_label
_atom_site_type_symbol
_atom_site_fract_x
_atom_site_fract_y
_atom_site_fract_z
Ce1 Ce 0.0000 0.0000 0.0000
Er1 Er 0.0000 0.0000 0.4921
Si1 Si 0.0000 0.0000 0.7471
Se1 Se 0.0000 0.0000 0.2426



Entry 2:
# CeSm3Er2Se6 PBE-GGA optimized geometry
# DFT total energy: -5.96 eV/atom
# Formation energy without anion corrections: -41.07 kcal/mol of atoms
# V: 24.94 A^3/atom
data_CeSm3Er2Se6
_cell_length_a 7.137
_cell_length_b 12.409
_cell_length_c 7.173
_cell_angle_alpha 90.00
_cell_angle_beta 109.56
_cell_angle_gamma 90.00
_space_group_name_H-M_alt 'C 1 2/m 1'
_space_group_IT_number 12
loop_
_space_group_symop_operation_xyz
'x,y,z'
'-x,-y,-z'
'-x,y,-z'
'x,-y,z'
'x+1/2,y+1/2,z'
'-x+1/2,-y+1/2,-z'
'-x+1/2,y+1/2,-z'
'x+1/2,-y+1/2,z'
loop_
_atom_site_label
_atom_site_type_symbol
_atom_site_fract_x
_atom_site_fract_y
_atom_site_fract_z
Ce1 Ce 0.000 0.000 0.000
Sm1 Sm 0.000 0.164 0.500
Sm2 Sm 0.000 0.500 0.500
Er1 Er 0.000 0.333 0.000
Se1 Se 0.238 0.500 0.240
Se2 Se 0.248 0.329 0.757



Entry 3:
# Ce2Sm3ErSe6 PBE-GGA optimized geometry
# DFT total energy: -6.09 eV/atom
# Formation energy without anion corrections: -41.58 kcal/mol of atoms
# V: 25.44 A^3/atom
data_Ce2Sm3ErSe6
_cell_length_a 7.194
_cell_length_b 12.482
_cell_length_c 7.213
_cell_angle_alpha 90.00
_cell_angle_beta 109.53
_cell_angle_gamma 90.00
_space_group_name_H-M_alt 'C 1 2/m 1'
_space_group_IT_number 12
loop_
_space_group_symop_operation_xyz
'x,y,z'
'-x,-y,-z'
'-x,y,-z'
'x,-y,z'
'x+1/2,y+1/2,z'
'-x+1/2,-y+1/2,-z'
'-x+1/2,y+1/2,-z'
'x+1/2,-y+1/2,z'
loop_
_atom_site_label
_atom_site_type_symbol
_atom_site_fract_x
_atom_site_fract_y
_atom_site_fract_z
Ce1 Ce 0.000 0.166 0.000
Sm1 Sm 0.000 0.000 0.500
Sm2 Sm 0.000 0.331 0.500
Er1 Er 0.000 0.500 0.000
Se1 Se 0.242 0.500 0.751
Se2 Se 0.245 0.337 0.246



Entry 4:
# Ce4Sm3ErSe8 PBE-GGA optimized geometry
# DFT total energy: -6.21 eV/atom
# Formation energy without anion corrections: -41.76 kcal/mol of atoms
# V: 25.68 A^3/atom
data_Ce4Sm3ErSe8
_cell_length_a 8.3202
_cell_length_b 8.3202
_cell_length_c 20.5652
_cell_angle_alpha 90.00
_cell_angle_beta 90.00
_cell_angle_gamma 120.00
_space_group_name_H-M_alt 'R -3 m'
_space_group_IT_number 166
_space_group_name_Hall '-R 3 2"'
loop_
_atom_site_label
_atom_site_type_symbol
_atom_site_fract_x
_atom_site_fract_y
_atom_site_fract_z
Ce1 Ce 0.0000 0.0000 0.0000
Ce2 Ce 0.0000 0.5000 0.0000
Sm1 Sm 0.0000 0.5000 0.5000
Er1 Er 0.0000 0.0000 0.5000
Se1 Se 0.0000 0.0000 0.2490
Se2 Se 0.0061 0.5030 0.2475



Entry 5:
# Ce3Sm2ErSe6 PBE-GGA optimized geometry
# DFT total energy: -6.20 eV/atom
# Formation energy without anion corrections: -41.70 kcal/mol of atoms
# V: 25.57 A^3/atom
data_Ce3Sm2ErSe6
_cell_length_a 7.190
_cell_length_b 12.462
_cell_length_c 7.257
_cell_angle_alpha 90.00
_cell_angle_beta 109.31
_cell_angle_gamma 90.00
_space_group_name_H-M_alt 'C 1 2/m 1'
_space_group_IT_number 12
loop_
_space_group_symop_operation_xyz
'x,y,z'
'-x,-y,-z'
'-x,y,-z'
'x,-y,z'
'x+1/2,y+1/2,z'
'-x+1/2,-y+1/2,-z'
'-x+1/2,y+1/2,-z'
'x+1/2,-y+1/2,z'
loop_
_atom_site_label
_atom_site_type_symbol
_atom_site_fract_x
_atom_site_fract_y
_atom_site_fract_z
Ce1 Ce 0.000 0.000 0.000
Ce2 Ce 0.000 0.330 0.000
Sm1 Sm 0.000 0.166 0.500
Er1 Er 0.000 0.500 0.500
Se1 Se 0.243 0.337 0.741
Se2 Se 0.244 0.500 0.255



Entry 6:
# CeSmEr2Se4 PBE-GGA optimized geometry
# DFT total energy: -5.98 eV/atom
# Formation energy without anion corrections: -40.76 kcal/mol of atoms
# V: 24.58 A^3/atom
data_CeSmEr2Se4
_cell_length_a 7.066
_cell_length_b 4.061
_cell_length_c 7.241
_cell_angle_alpha 90.00
_cell_angle_beta 108.81
_cell_angle_gamma 90.00
_space_group_name_H-M_alt 'P 1 2/m 1'
_space_group_IT_number 10
loop_
_space_group_symop_operation_xyz
'x,y,z'
'-x,-y,-z'
'-x,y,-z'
'x,-y,z'
loop_
_atom_site_label
_atom_site_type_symbol
_atom_site_fract_x
_atom_site_fract_y
_atom_site_fract_z
Ce1 Ce 0.000 0.000 0.000
Sm1 Sm 0.500 0.500 0.000
Er1 Er 0.000 0.500 0.500
Er2 Er 0.500 0.000 0.500
Se1 Se 0.246 0.000 0.736
Se2 Se 0.256 0.500 0.265



Entry 7:
# Ce2SmEr3Se6 PBE-GGA optimized geometry
# DFT total energy: -6.04 eV/atom
# Formation energy without anion corrections: -40.84 kcal/mol of atoms
# V: 24.62 A^3/atom
data_Ce2SmEr3Se6
_cell_length_a 7.057
_cell_length_b 12.244
_cell_length_c 7.234
_cell_angle_alpha 90.00
_cell_angle_beta 109.03
_cell_angle_gamma 90.00
_space_group_name_H-M_alt 'C 1 2/m 1'
_space_group_IT_number 12
loop_
_space_group_symop_operation_xyz
'x,y,z'
'-x,-y,-z'
'-x,y,-z'
'x,-y,z'
'x+1/2,y+1/2,z'
'-x+1/2,-y+1/2,-z'
'-x+1/2,y+1/2,-z'
'x+1/2,-y+1/2,z'
loop_
_atom_site_label
_atom_site_type_symbol
_atom_site_fract_x
_atom_site_fract_y
_atom_site_fract_z
Ce1 Ce 0.000 0.166 0.000
Sm1 Sm 0.000 0.500 0.000
Er1 Er 0.000 0.000 0.500
Er2 Er 0.000 0.335 0.500
Se1 Se 0.245 0.166 0.735
Se2 Se 0.245 0.500 0.736



Entry 8:
# CeSm2ErSe5 PBE-GGA optimized geometry
# DFT total energy: -5.40 eV/atom
# Formation energy without anion corrections: -28.84 kcal/mol of atoms
# V: 32.07 A^3/atom
data_CeSm2ErSe5
_cell_length_a 5.118
_cell_length_b 5.118
_cell_length_c 11.019
_cell_angle_alpha 90.00
_cell_angle_beta 90.00
_cell_angle_gamma 90.00
_space_group_name_H-M_alt 'P 4/m m m'
_space_group_IT_number 123
_space_group_name_Hall '-P 4 2'
loop_
_atom_site_label
_atom_site_type_symbol
_atom_site_fract_x
_atom_site_fract_y
_atom_site_fract_z
Ce1 Ce 0.000 0.000 0.000
Sm1 Sm 0.500 0.500 0.337
Er1 Er 0.000 0.000 0.500
Se1 Se 0.000 0.000 0.253
Se2 Se 0.000 0.500 0.500
Se3 Se 0.500 0.500 0.000



Entry 9:
# CeSm2Er3Se6 PBE-GGA optimized geometry
# DFT total energy: -5.93 eV/atom
# Formation energy without anion corrections: -40.70 kcal/mol of atoms
# V: 24.57 A^3/atom
data_CeSm2Er3Se6
_cell_length_a 18.010
_cell_length_b 4.067
_cell_length_c 8.317
_cell_angle_alpha 90.00
_cell_angle_beta 104.60
_cell_angle_gamma 90.00
_space_group_name_H-M_alt 'C 1 2/m 1'
_space_group_IT_number 12
loop_
_space_group_symop_operation_xyz
'x,y,z'
'-x,-y,-z'
'-x,y,-z'
'x,-y,z'
'x+1/2,y+1/2,z'
'-x+1/2,-y+1/2,-z'
'-x+1/2,y+1/2,-z'
'x+1/2,-y+1/2,z'
loop_
_atom_site_label
_atom_site_type_symbol
_atom_site_fract_x
_atom_site_fract_y
_atom_site_fract_z
Ce1 Ce 0.000 0.000 0.000
Sm1 Sm 0.165 0.500 0.331
Er1 Er 0.000 0.000 0.500
Er2 Er 0.167 0.500 0.835
Se1 Se 0.003 0.500 0.741
Se2 Se 0.165 0.000 0.591
Se3 Se 0.171 0.000 0.077



Entry 10:
# Sr2CeErSe4 PBE-GGA optimized geometry
# DFT total energy: -5.33 eV/atom
# Formation energy without anion corrections: -42.85 kcal/mol of atoms
# V: 27.67 A^3/atom
data_Sr2CeErSe4
_cell_length_a 7.355
_cell_length_b 4.238
_cell_length_c 7.507
_cell_angle_alpha 90.00
_cell_angle_beta 108.95
_cell_angle_gamma 90.00
_space_group_name_H-M_alt 'P 1 2/m 1'
_space_group_IT_number 10
loop_
_space_group_symop_operation_xyz
'x,y,z'
'-x,-y,-z'
'-x,y,-z'
'x,-y,z'
loop_
_atom_site_label
_atom_site_type_symbol
_atom_site_fract_x
_atom_site_fract_y
_atom_site_fract_z
Sr1 Sr 0.000 0.000 0.000
Sr2 Sr 0.500 0.500 0.000
Ce1 Ce 0.000 0.500 0.500
Er1 Er 0.500 0.000 0.500
Se1 Se 0.254 0.000 0.737
Se2 Se 0.264 0.500 0.269



Entry 11:
# SrCeEr4Se8 PBE-GGA optimized geometry
# DFT total energy: -5.60 eV/atom
# Formation energy without anion corrections: -40.64 kcal/mol of atoms
# V: 31.42 A^3/atom
data_SrCeEr4Se8
_cell_length_a 8.4780
_cell_length_b 8.4780
_cell_length_c 21.2003
_cell_angle_alpha 90.00
_cell_angle_beta 90.00
_cell_angle_gamma 120.00
_space_group_name_H-M_alt 'R 3 m'
_space_group_IT_number 160
_space_group_name_Hall 'R 3 -2"'
loop_
_atom_site_label
_atom_site_type_symbol
_atom_site_fract_x
_atom_site_fract_y
_atom_site_fract_z
Sr1 Sr 0.0000 0.0000 0.0000
Ce1 Ce 0.0000 0.0000 0.6276
Er1 Er 0.0000 0.0000 0.2524
Er2 Er 0.1686 0.3373 0.4596
Se1 Se 0.0000 0.0000 0.3843
Se2 Se 0.0000 0.0000 0.8624
Se3 Se 0.0314 0.5157 0.3855
Se4 Se 0.1725 0.3449 0.2038



Entry 12:
# TbCeEr2Se4 PBE-GGA optimized geometry
# DFT total energy: -5.96 eV/atom
# Formation energy without anion corrections: -40.41 kcal/mol of atoms
# V: 24.23 A^3/atom
data_TbCeEr2Se4
_cell_length_a 7.070
_cell_length_b 4.052
_cell_length_c 7.154
_cell_angle_alpha 90.00
_cell_angle_beta 108.94
_cell_angle_gamma 90.00
_space_group_name_H-M_alt 'P 1 2/m 1'
_space_group_IT_number 10
loop_
_space_group_symop_operation_xyz
'x,y,z'
'-x,-y,-z'
'-x,y,-z'
'x,-y,z'
loop_
_atom_site_label
_atom_site_type_symbol
_atom_site_fract_x
_atom_site_fract_y
_atom_site_fract_z
Tb1 Tb 0.000 0.000 0.000
Ce1 Ce 0.500 0.500 0.000
Er1 Er 0.000 0.500 0.500
Er2 Er 0.500 0.000 0.500
Se1 Se 0.242 0.000 0.738
Se2 Se 0.249 0.500 0.259



Entry 13:
# Tb3Ce2ErSe6 PBE-GGA optimized geometry
# DFT total energy: -6.05 eV/atom
# Formation energy without anion corrections: -41.09 kcal/mol of atoms
# V: 24.74 A^3/atom
data_Tb3Ce2ErSe6
_cell_length_a 7.118
_cell_length_b 12.354
_cell_length_c 7.160
_cell_angle_alpha 90.00
_cell_angle_beta 109.47
_cell_angle_gamma 90.00
_space_group_name_H-M_alt 'C 1 2/m 1'
_space_group_IT_number 12
loop_
_space_group_symop_operation_xyz
'x,y,z'
'-x,-y,-z'
'-x,y,-z'
'x,-y,z'
'x+1/2,y+1/2,z'
'-x+1/2,-y+1/2,-z'
'-x+1/2,y+1/2,-z'
'x+1/2,-y+1/2,z'
loop_
_atom_site_label
_atom_site_type_symbol
_atom_site_fract_x
_atom_site_fract_y
_atom_site_fract_z
Tb1 Tb 0.000 0.000 0.000
Tb2 Tb 0.000 0.331 0.000
Ce1 Ce 0.000 0.166 0.500
Er1 Er 0.000 0.500 0.500
Se1 Se 0.240 0.500 0.244
Se2 Se 0.247 0.337 0.754



Entry 14:
# Tb2CeErSe4 PBE-GGA optimized geometry
# DFT total energy: -5.98 eV/atom
# Formation energy without anion corrections: -40.75 kcal/mol of atoms
# V: 24.49 A^3/atom
data_Tb2CeErSe4
_cell_length_a 7.103
_cell_length_b 4.075
_cell_length_c 7.160
_cell_angle_alpha 90.00
_cell_angle_beta 109.03
_cell_angle_gamma 90.00
_space_group_name_H-M_alt 'P 1 2/m 1'
_space_group_IT_number 10
loop_
_space_group_symop_operation_xyz
'x,y,z'
'-x,-y,-z'
'-x,y,-z'
'x,-y,z'
loop_
_atom_site_label
_atom_site_type_symbol
_atom_site_fract_x
_atom_site_fract_y
_atom_site_fract_z
Tb1 Tb 0.000 0.000 0.000
Tb2 Tb 0.000 0.500 0.500
Ce1 Ce 0.500 0.000 0.500
Er1 Er 0.500 0.500 0.000
Se1 Se 0.246 0.500 0.242
Se2 Se 0.251 0.000 0.757



Entry 15:
# Tb2CeEr3Se6 PBE-GGA optimized geometry
# DFT total energy: -5.90 eV/atom
# Formation energy without anion corrections: -40.28 kcal/mol of atoms
# V: 24.10 A^3/atom
data_Tb2CeEr3Se6
_cell_length_a 17.838
_cell_length_b 4.056
_cell_length_c 8.232
_cell_angle_alpha 90.00
_cell_angle_beta 103.84
_cell_angle_gamma 90.00
_space_group_name_H-M_alt 'C 1 2/m 1'
_space_group_IT_number 12
loop_
_space_group_symop_operation_xyz
'x,y,z'
'-x,-y,-z'
'-x,y,-z'
'x,-y,z'
'x+1/2,y+1/2,z'
'-x+1/2,-y+1/2,-z'
'-x+1/2,y+1/2,-z'
'x+1/2,-y+1/2,z'
loop_
_atom_site_label
_atom_site_type_symbol
_atom_site_fract_x
_atom_site_fract_y
_atom_site_fract_z
Tb1 Tb 0.164 0.000 0.329
Ce1 Ce 0.000 0.500 0.000
Er1 Er 0.000 0.500 0.500
Er2 Er 0.165 0.000 0.834
Se1 Se 0.001 0.000 0.740
Se2 Se 0.167 0.500 0.586
Se3 Se 0.171 0.500 0.081



Entry 16:
# Tb4CeEr3Se8 PBE-GGA optimized geometry
# DFT total energy: -5.88 eV/atom
# Formation energy without anion corrections: -40.33 kcal/mol of atoms
# V: 24.12 A^3/atom
data_Tb4CeEr3Se8
_cell_length_a 8.1710
_cell_length_b 8.1710
_cell_length_c 20.0213
_cell_angle_alpha 90.00
_cell_angle_beta 90.00
_cell_angle_gamma 120.00
_space_group_name_H-M_alt 'R -3 m'
_space_group_IT_number 166
_space_group_name_Hall '-R 3 2"'
loop_
_atom_site_label
_atom_site_type_symbol
_atom_site_fract_x
_atom_site_fract_y
_atom_site_fract_z
Tb1 Tb 0.0000 0.0000 0.0000
Tb2 Tb 0.0000 0.5000 0.0000
Ce1 Ce 0.0000 0.0000 0.5000
Er1 Er 0.0000 0.5000 0.5000
Se1 Se 0.0000 0.0000 0.2481
Se2 Se 0.0059 0.5029 0.7504



Entry 17:
# TbCe2ErSe5 PBE-GGA optimized geometry
# DFT total energy: -5.59 eV/atom
# Formation energy without anion corrections: -30.34 kcal/mol of atoms
# V: 31.19 A^3/atom
data_TbCe2ErSe5
_cell_length_a 5.105
_cell_length_b 5.105
_cell_length_c 10.773
_cell_angle_alpha 90.00
_cell_angle_beta 90.00
_cell_angle_gamma 90.00
_space_group_name_H-M_alt 'P 4/m m m'
_space_group_IT_number 123
_space_group_name_Hall '-P 4 2'
loop_
_atom_site_label
_atom_site_type_symbol
_atom_site_fract_x
_atom_site_fract_y
_atom_site_fract_z
Tb1 Tb 0.000 0.000 0.000
Ce1 Ce 0.500 0.500 0.302
Er1 Er 0.000 0.000 0.500
Se1 Se 0.000 0.000 0.246
Se2 Se 0.000 0.500 0.500
Se3 Se 0.500 0.500 0.000



Entry 18:
# TbCe3Er2Se6 PBE-GGA optimized geometry
# DFT total energy: -6.16 eV/atom
# Formation energy without anion corrections: -41.18 kcal/mol of atoms
# V: 24.91 A^3/atom
data_TbCe3Er2Se6
_cell_length_a 7.090
_cell_length_b 12.295
_cell_length_c 7.254
_cell_angle_alpha 90.00
_cell_angle_beta 109.04
_cell_angle_gamma 90.00
_space_group_name_H-M_alt 'C 1 2/m 1'
_space_group_IT_number 12
loop_
_space_group_symop_operation_xyz
'x,y,z'
'-x,-y,-z'
'-x,y,-z'
'x,-y,z'
'x+1/2,y+1/2,z'
'-x+1/2,-y+1/2,-z'
'-x+1/2,y+1/2,-z'
'x+1/2,-y+1/2,z'
loop_
_atom_site_label
_atom_site_type_symbol
_atom_site_fract_x
_atom_site_fract_y
_atom_site_fract_z
Tb1 Tb 0.000 0.000 0.000
Ce1 Ce 0.000 0.165 0.500
Ce2 Ce 0.000 0.500 0.500
Er1 Er 0.000 0.333 0.000
Se1 Se 0.242 0.500 0.235
Se2 Se 0.247 0.168 0.237



Entry 19:
# CeErTeSe2 PBE-GGA optimized geometry
# DFT total energy: -5.45 eV/atom
# Formation energy without anion corrections: -30.62 kcal/mol of atoms
# V: 30.02 A^3/atom
data_CeErTeSe2
_cell_length_a 4.627
_cell_length_b 4.627
_cell_length_c 14.022
_cell_angle_alpha 90.00
_cell_angle_beta 90.00
_cell_angle_gamma 90.00
_space_group_name_H-M_alt 'I 4 m m'
_space_group_IT_number 107
_space_group_name_Hall 'I 4 -2'
loop_
_atom_site_label
_atom_site_type_symbol
_atom_site_fract_x
_atom_site_fract_y
_atom_site_fract_z
Ce1 Ce 0.000 0.000 0.000
Er1 Er 0.000 0.000 0.731
Te1 Te 0.000 0.000 0.373
Se1 Se 0.000 0.500 0.124



Entry 20:
# CeErTeSe PBE-GGA optimized geometry
# DFT total energy: -5.73 eV/atom
# Formation energy without anion corrections: -33.48 kcal/mol of atoms
# V: 27.84 A^3/atom
data_CeErTeSe
_cell_length_a 4.0962
_cell_length_b 4.0962
_cell_length_c 22.9901
_cell_angle_alpha 90.00
_cell_angle_beta 90.00
_cell_angle_gamma 120.00
_space_group_name_H-M_alt 'R 3 m'
_space_group_IT_number 160
_space_group_name_Hall 'R 3 -2"'
loop_
_atom_site_label
_atom_site_type_symbol
_atom_site_fract_x
_atom_site_fract_y
_atom_site_fract_z
Ce1 Ce 0.0000 0.0000 0.0000
Er1 Er 0.0000 0.0000 0.8386
Te1 Te 0.0000 0.0000 0.4245
Se1 Se 0.0000 0.0000 0.2462